No. 1
# Mn2CuMo

Crystalline Mn2CuMo at its relaxed geometry (PBE-GGA, Alexandria via LeMat-Bulk).

Lattice parameters (Å, degrees): 4.486 4.486 4.634 82.64 82.64 33.64
Each line ends with the local moment (μB).
Positions (direct):
Mn (0.994, 0.994, 0.012)  1.75
Mn (0.506, 0.506, 0.488)  1.75
Cu (0.250, 0.250, 0.250)  0.03
Mo (0.750, 0.750, 0.750)  -0.40

Computed properties:
Crystal system: monoclinic
Energy of formation in eV/atom: 0.2587
DOS at the Fermi energy in states/eV/f.u.: 4.245
Polymorph energy (0 for the lowest one) in eV/atom: 0.097
Space-group type: No. 12
Spin magnetization in Bohr magnetons per cell: 3.15
E in eV per atom: -8.058


No. 2
# MnCu2Mo

Crystalline MnCu2Mo at its relaxed geometry (PBE-GGA, Alexandria via LeMat-Bulk).

Lattice parameters (Å, degrees): 4.812 4.812 2.510 90.12 90.12 118.72
Positions (direct):
Mo (0.000, 0.500, 0.500)
Mn (0.500, 0.000, 0.500)
Cu (0.000, 0.000, 0.000)
Cu (0.500, 0.500, 0.000)

Computed properties:
Crystal system: monoclinic
Energy of formation in eV/atom: 0.2972
DOS at the Fermi energy in states/eV/f.u.: 1.373
Polymorph energy (0 for the lowest one) in eV/atom: 0.125
Space-group type: No. 12
Spin magnetization in Bohr magnetons per cell: 0.00
E in eV per atom: -6.751


Question: What is the polymorph energy (0 for the lowest one) in the second record?
Answer: 0.125 eV/atom